Record 1
Computed, not measured: a geometry-optimized Gd2SeOF2 structure at the PBE level of DFT.

Cell lengths 13.6330, 13.6330, 3.8077 Å; angles 90.00, 90.00, 120.00 degrees
Atoms (fractional coordinates):
Gd1 0.0556 0.2908 0.2500
Gd2 0.1180 0.6022 0.2500
Gd3 0.2351 0.9444 0.2500
Gd4 0.2908 0.2351 0.7500
Gd5 0.3978 0.5158 0.2500
Gd6 0.4842 0.8820 0.2500
Gd7 0.5158 0.1180 0.7500
Gd8 0.6022 0.4842 0.7500
Gd9 0.7092 0.7649 0.2500
Gd10 0.7649 0.0556 0.7500
Gd11 0.8820 0.3978 0.7500
Gd12 0.9444 0.7092 0.7500
Se1 0.2062 0.4882 0.7500
Se2 0.2821 0.7938 0.7500
Se3 0.4882 0.2821 0.2500
Se4 0.5118 0.7179 0.7500
Se5 0.7179 0.2062 0.2500
Se6 0.7938 0.5118 0.2500
O1 0.0145 0.5867 0.7500
O2 0.4133 0.4278 0.7500
O3 0.4278 0.0145 0.2500
O4 0.5722 0.9855 0.7500
O5 0.5867 0.5722 0.2500
O6 0.9855 0.4133 0.2500
F1 0.0673 0.7507 0.2500
F2 0.1022 0.2102 0.7500
F3 0.1080 0.8978 0.7500
F4 0.2102 0.1080 0.2500
F5 0.2493 0.3166 0.2500
F6 0.3166 0.0673 0.7500
F7 0.6834 0.9327 0.2500
F8 0.7507 0.6834 0.7500
F9 0.7898 0.8920 0.7500
F10 0.8920 0.1022 0.2500
F11 0.8978 0.7898 0.2500
F12 0.9327 0.2493 0.7500

Results
Total magnetic moment (μB per formula unit): 13.989
Formation energy from raw total energies (eV/f.u.): -20.154

=====

Record 2
Computed, not measured: a geometry-optimized K2LiMo structure at the PBE level of DFT.

Cell lengths 7.6594, 7.6594, 7.6594 Å; angles 101.21, 101.21, 127.67 degrees
Atoms (fractional coordinates):
K1 0.1088 0.6250 0.9838
K2 0.3750 0.3588 0.4838
K3 0.6412 0.1250 0.0162
K4 0.8750 0.8912 0.5162
Li1 0.0000 0.0000 0.0000
Li2 0.7500 0.2500 0.5000
Mo1 0.2500 0.7500 0.5000
Mo2 0.5000 0.5000 0.0000

Results
DOS(E_F) (states/eV per cell): 5.209
Total magnetic moment (μB per formula unit): 4.917
Formation enthalpy at 0 K (eV per formula unit): 5.1

=====

Record 3
Computed, not measured: a geometry-optimized Ho2Ni12P3Pd structure at the PBE level of DFT.

Cell lengths 6.2562, 6.2562, 6.2562 Å; angles 85.87, 85.87, 85.87 degrees
Atoms (fractional coordinates):
Ho1 0.1994 0.1994 0.1994
Ho2 0.8006 0.8006 0.8006
Ni1 0.1065 0.1065 0.6233
Ni2 0.1065 0.6233 0.1065
Ni3 0.1844 0.6872 0.6872
Ni4 0.3128 0.3128 0.8156
Ni5 0.3128 0.8156 0.3128
Ni6 0.3767 0.8935 0.8935
Ni7 0.6233 0.1065 0.1065
Ni8 0.6872 0.1844 0.6872
Ni9 0.6872 0.6872 0.1844
Ni10 0.8156 0.3128 0.3128
Ni11 0.8935 0.3767 0.8935
Ni12 0.8935 0.8935 0.3767
P1 0.0000 0.5000 0.5000
P2 0.5000 0.0000 0.5000
P3 0.5000 0.5000 0.0000
Pd1 0.5000 0.5000 0.5000

Results
DOS(E_F) (states/eV per cell): 20.835
Total magnetic moment (μB per formula unit): 0.000
Formation enthalpy at 0 K (eV per formula unit): -2.0

=====

Record 4
Computed, not measured: a geometry-optimized Rb2HfTiI6 structure at the PBE level of DFT.

Cell lengths 8.2373, 8.2373, 8.2373 Å; angles 60.00, 60.00, 60.00 degrees
Atoms (fractional coordinates):
Rb1 0.2500 0.2500 0.2500
Rb2 0.7500 0.7500 0.7500
Hf1 0.0000 0.0000 0.0000
Ti1 0.5000 0.5000 0.5000
I1 0.2488 0.2488 0.7512
I2 0.2488 0.7512 0.2488
I3 0.2488 0.7512 0.7512
I4 0.7512 0.2488 0.2488
I5 0.7512 0.2488 0.7512
I6 0.7512 0.7512 0.2488

Results
DOS(E_F) (states/eV per cell): 10.793
Total magnetic moment (μB per formula unit): 3.141
Formation energy from raw total energies (eV/f.u.): -7.845

=====

Record 5
Computed, not measured: a geometry-optimized Cu2HRu structure at the PBE level of DFT.

Cell lengths 4.8943, 4.8943, 4.8943 Å; angles 116.17, 116.17, 96.76 degrees
Atoms (fractional coordinates):
Cu1 0.3750 0.2154 0.3404
Cu2 0.7846 0.1250 0.1596
Cu3 0.8750 0.0346 0.6596
Cu4 0.9654 0.6250 0.8404
H1 0.0000 0.0000 0.0000
H2 0.7500 0.2500 0.5000
Ru1 0.2500 0.7500 0.5000
Ru2 0.5000 0.5000 0.0000

Results
DOS(E_F) (states/eV per cell): 3.509
Total magnetic moment (μB per formula unit): 1.070

=====

Record 6
Computed, not measured: a geometry-optimized DyHo3Er4 structure at the PBE level of DFT.

Cell lengths 11.1025, 7.1889, 6.2154 Å; angles 90.00, 90.00, 90.00 degrees
Atoms (fractional coordinates):
Dy1 0.0000 0.1255 0.0000
Dy2 0.5000 0.8745 0.5000
Ho1 0.0000 0.8744 0.4997
Ho2 0.2501 0.1256 0.3332
Ho3 0.2499 0.8744 0.8332
Ho4 0.5000 0.1256 0.9997
Ho5 0.7499 0.1256 0.3332
Ho6 0.7501 0.8744 0.8332
Er1 0.0000 0.3753 0.5001
Er2 0.0000 0.6241 0.9996
Er3 0.2503 0.3756 0.8330
Er4 0.2497 0.6244 0.3330
Er5 0.5000 0.3759 0.4996
Er6 0.5000 0.6247 0.0001
Er7 0.7497 0.3756 0.8330
Er8 0.7503 0.6244 0.3330

Results
DOS(E_F) (states/eV per cell): 25.479
Total magnetic moment (μB per formula unit): 0.000
Formation enthalpy at 0 K (eV per formula unit): 0.0

=====

Record 7
Computed, not measured: a geometry-optimized MgTa2Ag structure at the PBE level of DFT.

Cell lengths 4.7183, 4.7183, 4.7183 Å; angles 60.00, 60.00, 60.00 degrees
Atoms (fractional coordinates):
Mg1 0.0000 0.0000 0.0000
Ta1 0.2500 0.2500 0.2500
Ta2 0.5000 0.5000 0.5000
Ag1 0.7500 0.7500 0.7500

Results
DOS(E_F) (states/eV per cell): 4.989
Total magnetic moment (μB per formula unit): 1.209
Formation enthalpy at 0 K (eV per formula unit): 2.1

=====

Values for raw total energy, eV/atom, ordered as above
-10.084, -2.451, -5.666, -3.693, -4.685, -4.573, -6.509